(1)
DFT (PBE) results for a geometry-optimized Ca3HgSb2Pd9 structure.

The structure belongs to space group P-3m1 (No. 164); the cell edges are 5.7288, 5.7288 and 12.5995 Å and the angles 90.00°, 90.00° and 120.00°. The asymmetric unit holds Ca at (0.0000, 0.0000, 0.0000), Ca at (0.3333, 0.6667, 0.7674), Hg at (0.0000, 0.0000, 0.5000), Sb at (0.3333, 0.6667, 0.1630), Pd at (0.0000, 0.5000, 0.0000) and Pd at (0.1606, 0.3211, 0.3172).

Its uncorrected formation energy is -0.436 eV per atom.

(2)
DFT (PBE) results for a geometry-optimized Ba3Sr3Hg2 structure.

The structure belongs to space group Cmcm (No. 63); the cell edges are 4.3597, 15.9507 and 22.6188 Å and the angles 90.00°, 90.00° and 90.00°. The asymmetric unit holds Ba at (0.0000, 0.0649, 0.0906), Ba at (0.0000, 0.3267, 0.2500), Sr at (0.0000, 0.3302, 0.0579), Sr at (0.0000, 0.4070, 0.7500) and Hg at (0.0000, 0.2732, 0.6402).

The formation energy comes out at -177 kJ/mol of formula units.

(3)
DFT (PBE) results for a geometry-optimized Tb5DyEr6 structure.

The structure belongs to space group C2/m (No. 12); the cell edges are 6.1075, 10.5681 and 11.6592 Å and the angles 90.00°, 100.00° and 90.00°. The asymmetric unit holds Tb at (0.0000, 0.0000, 0.0000), Tb at (0.0000, 0.1666, 0.5000), Tb at (0.0000, 0.3333, 0.0000), Dy at (0.0000, 0.5000, 0.5000), Er at (0.2494, 0.3334, 0.7498) and Er at (0.2496, 0.0000, 0.7498).

The formation energy comes out at 21 kJ/mol of formula units.

(4)
DFT (PBE) results for a geometry-optimized BaAl2Br structure.

The structure belongs to space group Pm (No. 6); the cell edges are 4.0297, 3.9438 and 9.1621 Å and the angles 90.00°, 102.31° and 90.00°. The asymmetric unit holds Ba at (0.0000, 0.0000, 0.0000), Al at (0.1636, 0.5000, 0.3395), Al at (0.6629, 0.0000, 0.3375) and Br at (0.4136, 0.5000, 0.8216).

Its uncorrected formation energy is -0.457 eV per atom.

(5)
DFT (PBE) results for a geometry-optimized Cs2HfSc2Te6 structure.

The structure belongs to space group C2/m (No. 12); the cell edges are 7.2946, 12.6429 and 9.4820 Å and the angles 90.00°, 105.20° and 90.00°. The asymmetric unit holds Cs at (0.0000, 0.1674, 0.0000), Hf at (0.0000, 0.0000, 0.5000), Sc at (0.0000, 0.3318, 0.5000), Te at (0.2279, 0.1629, 0.6816) and Te at (0.2298, 0.5000, 0.6801).

Its uncorrected formation energy is -1.153 eV per atom.

Number 1: DFT total energy -67.829 eV for the cell shown. Number 2: DFT total energy -53.013 eV for the cell shown. Number 3: DFT total energy -109.825 eV for the cell shown. Number 4: DFT total energy -12.908 eV for the cell shown. Number 5: DFT total energy -111.706 eV for the cell shown.